First-principles (PBE) data for Na2Ti2S after structural relaxation, as listed in Alexandria via LeMat-Bulk.

Unit cell a=6.613 b=6.613 c=5.488 alpha=90.00 beta=90.00 gamma=90.00
Sites, in units of the cell vectors:
1 Na 0.153 0.347 0.000
2 Na 0.347 0.847 0.000
3 Na 0.653 0.153 0.000
4 Na 0.847 0.653 0.000
5 Ti 0.119 0.619 0.500
6 Ti 0.381 0.119 0.500
7 Ti 0.619 0.881 0.500
8 Ti 0.881 0.381 0.500
9 S 0.000 0.000 0.000
10 S 0.500 0.500 0.000

* formation energy without anion corrections: 283 kJ/mol of formula units

=====

First-principles (PBE) data for NaTi3S after structural relaxation, as listed in Alexandria via LeMat-Bulk.

Unit cell a=4.718 b=4.718 c=4.718 alpha=90.00 beta=90.00 gamma=90.00
Sites, in units of the cell vectors:
1 Na 0.000 0.000 0.000
2 Ti 0.000 0.000 0.500
3 Ti 0.000 0.500 0.000
4 Ti 0.500 0.000 0.000
5 S 0.500 0.500 0.500

* formation energy without anion corrections: 775 kJ/mol of formula units